1.
# K2NiF4, optimized geometry, DFT GGA-PBEsol
data_K2NiF4
_chemical_formula_sum 'K4 Ni2 F8'
_cell_length_a 3.990
_cell_length_b 3.990
_cell_length_c 12.935
_cell_angle_alpha 90.00
_cell_angle_beta 90.00
_cell_angle_gamma 90.00
_space_group_name_H-M_alt 'I 4/m m m'
_space_group_IT_number 139
_space_group_name_Hall '-I 4 2'
loop_
_atom_site_label
_atom_site_fract_x
_atom_site_fract_y
_atom_site_fract_z
_atom_site_occupancy
K1 0.000 0.000 0.145 1
Ni1 0.000 0.000 0.500 1
F1 0.000 0.000 0.346 1
F2 0.000 0.500 0.000 1
# Calculated total energy   -4.631 eV/atom
# Magnetization   3.99 μB per cell
# Raw formation energy   -2.326 eV/atom
# Crystal system   tetragonal

=====

2.
# MgCu2AsC, optimized geometry, DFT GGA-PBEsol
data_MgCu2AsC
_chemical_formula_sum 'Mg1 Cu2 As1 C1'
_cell_length_a 3.796
_cell_length_b 3.796
_cell_length_c 4.913
_cell_angle_alpha 90.00
_cell_angle_beta 90.00
_cell_angle_gamma 90.00
_space_group_name_H-M_alt 'P 4/m m m'
_space_group_IT_number 123
_space_group_name_Hall '-P 4 2'
loop_
_atom_site_label
_atom_site_fract_x
_atom_site_fract_y
_atom_site_fract_z
_atom_site_occupancy
Mg1 0.000 0.000 0.000 1
Cu1 0.000 0.500 0.500 1
As1 0.500 0.500 0.000 1
C1 0.500 0.500 0.500 1
# Calculated total energy   -4.589 eV/atom
# Magnetization   0.00 μB per cell
# Crystal system   tetragonal
# Energy of formation   438 meV per atom